# 1
VASP calculation (SCAN) on Li3SI at its PBEsol-relaxed geometry.

Cell lengths 4.6780, 4.6780, 4.6780 Å; angles 90.00, 90.00, 90.00 degrees
Last column: nearest neighbours and their distance in Å.
Space group Pm-3m (No. 221)
One atom of each set of equivalent atoms:
Li (0.0000, 0.0000, 0.5000)  2 S 2.34
S (0.0000, 0.0000, 0.0000)  6 Li 2.34
I (0.5000, 0.5000, 0.5000)  12 Li 3.31

Properties
Raw total energy   -60.390 eV/cell
Formation energy without anion corrections   -1.3702 eV/atom
DOS(E_F)   0.00 states/eV/cell
ρ   2.92 g cm⁻³

---

# 2
VASP calculation (SCAN) on Li3SI at its PBEsol-relaxed geometry.

Cell lengths 4.9587, 4.9587, 4.9587 Å; angles 90.00, 90.00, 90.00 degrees
Last column: nearest neighbours and their distance in Å.
Space group Pm-3m (No. 221)
One atom of each set of equivalent atoms:
Li (0.0000, 0.0000, 0.5000)  2 I 2.48
S (0.5000, 0.5000, 0.5000)  12 Li 3.51
I (0.0000, 0.0000, 0.0000)  6 Li 2.48

Properties
Raw total energy   -56.822 eV/cell
Formation energy without anion corrections   -0.6567 eV/atom
DOS(E_F)   0.00 states/eV/cell
ρ   2.45 g cm⁻³

---

# 3
VASP calculation (SCAN) on LiS2I at its PBEsol-relaxed geometry.

Cell lengths 5.2195, 5.2195, 14.7559 Å; angles 90.00, 90.00, 90.00 degrees
Last column: nearest neighbours and their distance in Å.
Space group I-42d (No. 122)
One atom of each set of equivalent atoms:
Li (0.0000, 0.0000, 0.0000)  4 S 2.58
S (0.2373, 0.2500, 0.1250)  2 Li 2.58, 2 I 2.64
I (0.0000, 0.0000, 0.5000)  4 S 2.64

Properties
Raw total energy   -232.494 eV/cell
Formation energy without anion corrections   0.0660 eV/atom
DOS(E_F)   2.02 states/eV/cell
ρ   3.27 g cm⁻³

---

# 4
VASP calculation (SCAN) on SrLiSbI2 at its PBEsol-relaxed geometry.

Cell lengths 5.3617, 5.3617, 5.3592 Å; angles 90.00, 90.00, 90.00 degrees
Last column: nearest neighbours and their distance in Å.
Space group P4/mmm (No. 123)
One atom of each set of equivalent atoms:
Sr (0.0000, 0.0000, 0.0000)  8 I 3.79, 4 Sb 3.79
Li (0.5000, 0.5000, 0.5000)  2 Sb 2.68, 4 I 2.68
Sb (0.5000, 0.5000, 0.0000)  2 Li 2.68
I (0.0000, 0.5000, 0.5000)  2 Li 2.68

Properties
Raw total energy   -138.918 eV/cell
Formation energy without anion corrections   -0.7018 eV/atom
DOS(E_F)   3.12 states/eV/cell
ρ   5.07 g cm⁻³

---

# 5
VASP calculation (SCAN) on LiTcSb2I at its PBEsol-relaxed geometry.

Cell lengths 5.0102, 5.0102, 6.0582 Å; angles 90.00, 90.00, 90.00 degrees
Last column: nearest neighbours and their distance in Å.
Space group P4/mmm (No. 123)
One atom of each set of equivalent atoms:
Li (0.0000, 0.0000, 0.0000)  4 I 3.54, 8 Sb 3.93
Tc (0.5000, 0.5000, 0.5000)  4 Sb 2.51
Sb (0.0000, 0.5000, 0.5000)  2 Tc 2.51
I (0.5000, 0.5000, 0.0000)  2 Tc 3.03

Properties
Raw total energy   -147.634 eV/cell
Formation energy without anion corrections   0.2158 eV/atom
DOS(E_F)   2.96 states/eV/cell
ρ   5.19 g cm⁻³

---

# 6
VASP calculation (SCAN) on LiTcSbI2 at its PBEsol-relaxed geometry.

Cell lengths 5.1111, 5.1111, 5.2031 Å; angles 90.00, 90.00, 90.00 degrees
Last column: nearest neighbours and their distance in Å.
Space group P4/mmm (No. 123)
One atom of each set of equivalent atoms:
Li (0.0000, 0.0000, 0.0000)  4 I 2.56, 2 Sb 2.60
Tc (0.5000, 0.5000, 0.5000)  4 Sb 3.61, 8 I 3.65
Sb (0.0000, 0.0000, 0.5000)  2 Li 2.60
I (0.0000, 0.5000, 0.0000)  2 Li 2.56

Properties
Raw total energy   -144.177 eV/cell
Formation energy without anion corrections   0.8032 eV/atom
DOS(E_F)   3.08 states/eV/cell
ρ   5.87 g cm⁻³

---

# 7
VASP calculation (SCAN) on LiTcSbI2 at its PBEsol-relaxed geometry.

Cell lengths 5.6419, 5.6419, 4.9835 Å; angles 90.00, 90.00, 90.00 degrees
Last column: nearest neighbours and their distance in Å.
Space group P4/mmm (No. 123)
One atom of each set of equivalent atoms:
Li (0.0000, 0.0000, 0.0000)  8 I 3.76, 4 Sb 3.99
Tc (0.5000, 0.5000, 0.5000)  2 Sb 2.49
Sb (0.5000, 0.5000, 0.0000)  2 Tc 2.49
I (0.0000, 0.5000, 0.5000)  2 Tc 2.82

Properties
Raw total energy   -147.219 eV/cell
Formation energy without anion corrections   0.1950 eV/atom
DOS(E_F)   3.17 states/eV/cell
ρ   5.03 g cm⁻³

---

# 8
VASP calculation (SCAN) on Li3SiI at its PBEsol-relaxed geometry.

Cell lengths 4.9885, 4.9885, 4.9885 Å; angles 90.00, 90.00, 90.00 degrees
Last column: nearest neighbours and their distance in Å.
Space group Pm-3m (No. 221)
One atom of each set of equivalent atoms:
Li (0.0000, 0.0000, 0.5000)  2 Si 2.49
Si (0.0000, 0.0000, 0.0000)  6 Li 2.49
I (0.5000, 0.5000, 0.5000)  12 Li 3.53

Properties
Raw total energy   -54.381 eV/cell
Formation energy without anion corrections   -0.0908 eV/atom
DOS(E_F)   2.97 states/eV/cell
ρ   2.35 g cm⁻³

---

# 9
VASP calculation (SCAN) on LiSnI3 at its PBEsol-relaxed geometry.

Cell lengths 5.3659, 5.3659, 5.3659 Å; angles 90.00, 90.00, 90.00 degrees
Last column: nearest neighbours and their distance in Å.
Space group Pm-3m (No. 221)
One atom of each set of equivalent atoms:
Li (0.0000, 0.0000, 0.0000)  6 I 2.68
Sn (0.5000, 0.5000, 0.5000)  12 I 3.79
I (0.0000, 0.0000, 0.5000)  2 Li 2.68

Properties
Raw total energy   -150.359 eV/cell
Formation energy without anion corrections   -0.3647 eV/atom
DOS(E_F)   0.04 states/eV/cell
ρ   5.44 g cm⁻³

---

# 10
VASP calculation (SCAN) on Li2SnI2 at its PBEsol-relaxed geometry.

Cell lengths 5.5953, 5.5953, 9.0007 Å; angles 90.00, 90.00, 90.00 degrees
Last column: nearest neighbours and their distance in Å.
Space group I4/mmm (No. 139)
One atom of each set of equivalent atoms:
Li (0.0000, 0.0000, 0.1779)  4 I 2.87, 1 Sn 2.90, 1 Li 3.20
Sn (0.0000, 0.0000, 0.5000)  2 Li 2.90
I (0.0000, 0.5000, 0.2500)  4 Li 2.87

Properties
Raw total energy   -231.395 eV/cell
Formation energy without anion corrections   -0.3027 eV/atom
DOS(E_F)   7.08 states/eV/cell
ρ   4.55 g cm⁻³

---

# 11
VASP calculation (SCAN) on Li2SnI2 at its PBEsol-relaxed geometry.

Cell lengths 8.2165, 8.2165, 3.7592 Å; angles 90.00, 90.00, 90.00 degrees
Last column: nearest neighbours and their distance in Å.
Space group P4/mbm (No. 127)
One atom of each set of equivalent atoms:
Li (0.1440, 0.3560, 0.0000)  6 I 2.91-3.17, 2 Sn 3.16
Sn (0.0000, 0.0000, 0.0000)  4 Li 3.16
I (0.1653, 0.6653, 0.5000)  6 Li 2.91-3.17

Properties
Raw total energy   -232.715 eV/cell
Formation energy without anion corrections   -0.4347 eV/atom
DOS(E_F)   5.60 states/eV/cell
ρ   5.06 g cm⁻³

---

# 12
VASP calculation (SCAN) on Li2SnI at its PBEsol-relaxed geometry.

Cell lengths 7.6255, 7.6255, 6.7565 Å; angles 90.00, 90.00, 90.00 degrees
Last column: nearest neighbours and their distance in Å.
Space group I-42d (No. 122)
One atom of each set of equivalent atoms:
Li (0.2318, 0.7500, 0.1250)  2 I 2.73, 2 Sn 2.92
Sn (0.0000, 0.0000, 0.5000)  4 Li 2.92
I (0.0000, 0.0000, 0.0000)  4 Li 2.73

Properties
Raw total energy   -315.768 eV/cell
Formation energy without anion corrections   -0.3749 eV/atom
DOS(E_F)   5.02 states/eV/cell
ρ   4.39 g cm⁻³

---

Which formula does entry 7 have?
LiTcSbI2